# Hf2ZrU, optimized geometry, DFT PBE
# * ΔH_f (0 K): 286 meV/atom
# * total DFT energy (no corrections): -0.709 Ry/atom
# * magnetization: 1.66 μB/cell
data_Hf2ZrU
_chemical_formula_sum 'Hf2 Zr1 U1'
_space_group_name_H-M_alt 'P 1'
_space_group_IT_number 1
_cell_length_a 3.443
_cell_length_b 3.443
_cell_length_c 7.512
_cell_angle_alpha 90.00
_cell_angle_beta 90.00
_cell_angle_gamma 90.00
loop_
_space_group_symop_operation_xyz
'x,y,z'
loop_
_atom_site_label
_atom_site_type_symbol
_atom_site_fract_x
_atom_site_fract_y
_atom_site_fract_z
Hf1 Hf 0.000 0.000 0.767
Hf2 Hf 0.000 0.000 0.233
U1 U 0.500 0.500 0.000
Zr1 Zr 0.500 0.500 0.500